ScVIrO6 | PBE with a Hubbard U | relaxed

```
data_ScVIrO6
_cell_length_a 5.038
_cell_length_b 5.038
_cell_length_c 8.787
_cell_angle_alpha 90.00
_cell_angle_beta 90.00
_cell_angle_gamma 120.00
_symmetry_space_group_name_H-M 'P 1'
_symmetry_Int_Tables_number 1
_symmetry_space_group_name_Hall 'P 1'
loop_
_atom_site_label
_atom_site_fract_x
_atom_site_fract_y
_atom_site_fract_z
Sc1 0.667 0.333 0.750
Sc2 0.333 0.667 0.250
O1 0.688 0.673 0.121
O2 0.673 0.985 0.879
O3 0.015 0.688 0.879
O4 0.985 0.673 0.379
O5 0.688 0.015 0.379
O6 0.015 0.327 0.621
O7 0.312 0.985 0.621
O8 0.312 0.327 0.879
O9 0.327 0.015 0.121
O10 0.985 0.312 0.121
O11 0.673 0.688 0.621
O12 0.327 0.312 0.379
V1 0.000 0.000 0.000
V2 0.000 0.000 0.500
Ir1 0.667 0.333 0.250
Ir2 0.333 0.667 0.750
```

## Properties
calculated total energy: -7.6214 eV/atom
spin magnetization: 0.0866 μB per atom
N(E_F): 6.29 states/eV/f.u.